(1)
DFT (PBE) results for a geometry-optimized NaGa3Os structure.

Results
The value obtained for the density of states at the Fermi level is 0.00 states/eV per cell. The volume is 22.7 A^3/atom. The value obtained for the spin magnetization is 0.0000 μB/atom. The offset from the most stable computed form comes out at 0.000 eV per atom. As for the symmetry: Pm-3m (221). The total energy is -0.165 hartree per atom.

Cell and atoms, written as extended XYZ:
```
5
Lattice="-1.1392 -2.1232 4.2013 4.6367 -1.2521 0.6245 0.8124 4.1691 2.3272" Properties=species:S:1:pos:R:3 pbc="T T T"
Na 2.1550 0.3969 3.5765
Os 0.0000 0.0000 0.0000
Ga 2.3184 -0.6260 0.3122
Ga 0.4062 2.0845 1.1636
Ga -0.5696 -1.0616 2.1007
```


(2)
DFT (PBE) results for a geometry-optimized NaGa2Os structure.

Results
The value obtained for the density of states at the Fermi level is 2.02 states/eV per cell. The volume is 15.7 A^3/atom. The value obtained for the spin magnetization is 0.0000 μB/atom. The offset from the most stable computed form comes out at 0.125 eV per atom. As for the symmetry: Fm-3m (225). The total energy is -0.165 hartree per atom.

Cell and atoms, written as extended XYZ:
```
4
Lattice="0.0000 3.1558 3.1558 3.1558 0.0000 3.1558 3.1558 3.1558 0.0000" Properties=species:S:1:pos:R:3 pbc="T T T"
Na 0.0000 0.0000 0.0000
Os 3.1558 3.1558 3.1558
Ga 1.5779 1.5779 1.5779
Ga 4.7338 4.7338 4.7338
```


(3)
DFT (PBE) results for a geometry-optimized NaGaPOs structure.

Results
The value obtained for the density of states at the Fermi level is 5.51 states/eV per cell. The volume is 21.3 A^3/atom. The value obtained for the spin magnetization is 0.0000 μB/atom. As for the symmetry: P4/nmm (129). The total energy is -0.199 hartree per atom.

Cell and atoms, written as extended XYZ:
```
8
Lattice="-3.3648 -1.5738 -1.2225 1.9046 -3.2458 -1.0636 -1.6690 -4.2976 10.1266" Properties=species:S:1:pos:R:3 pbc="T T T"
Na -1.5068 -4.6744 0.7825
Na -1.6225 -4.4428 7.0580
Ga -0.2473 -4.9766 3.9600
Ga -2.8820 -4.1406 3.8805
P -2.5653 -7.4002 7.2052
P -0.5640 -1.7171 0.6354
Os -2.0475 -1.9918 -1.1828
Os 0.5872 -2.8278 -1.1033
```


(4)
DFT (PBE) results for a geometry-optimized NaGaOsRu2 structure.

Results
The value obtained for the density of states at the Fermi level is 4.28 states/eV per cell. The volume is 23.0 A^3/atom. The value obtained for the spin magnetization is 0.0326 μB/atom. As for the symmetry: P4/mmm (123). The total energy is -0.213 hartree per atom.

Cell and atoms, written as extended XYZ:
```
5
Lattice="4.8037 0.0000 0.0000 0.0000 4.9755 0.0000 0.0000 0.0000 4.8037" Properties=species:S:1:pos:R:3 pbc="T T T"
Ru 0.0000 0.0000 2.4018
Ru 2.4018 0.0000 0.0000
Os 0.0000 0.0000 0.0000
Ga 0.0000 2.4877 0.0000
Na 2.4018 2.4877 2.4018
```


(5)
DFT (PBE) results for a geometry-optimized Na2GaSiOs structure.

Results
The value obtained for the density of states at the Fermi level is 4.83 states/eV per cell. The volume is 27.4 A^3/atom. The calculation puts the energy relative to the elements, uncorrected at 1.260 eV per atom. The value obtained for the spin magnetization is 0.2118 μB/atom. The offset from the most stable computed form comes out at 0.104 eV per atom. As for the symmetry: P4/mmm (123). The total energy is -0.118 hartree per atom.

Cell and atoms, written as extended XYZ:
```
5
Lattice="5.3735 0.0000 0.0000 0.0000 4.7504 0.0000 0.0000 0.0000 5.3735" Properties=species:S:1:pos:R:3 pbc="T T T"
Na 0.0000 0.0000 2.6868
Na 2.6868 0.0000 0.0000
Si 2.6868 2.3752 2.6868
Os 0.0000 0.0000 0.0000
Ga 0.0000 2.3752 0.0000
```


(6)
DFT (PBE) results for a geometry-optimized Na2GaSiOs structure.

Results
The value obtained for the density of states at the Fermi level is 5.00 states/eV per cell. The volume is 23.8 A^3/atom. The calculation puts the energy relative to the elements, uncorrected at 1.155 eV per atom. The value obtained for the spin magnetization is 0.2164 μB/atom. The offset from the most stable computed form comes out at 0.000 eV per atom. As for the symmetry: P4/mmm (123). The total energy is -0.122 hartree per atom.

Cell and atoms, written as extended XYZ:
```
5
Lattice="-4.7698 -1.0582 1.2049 1.2313 -4.4229 0.9899 0.9117 1.3212 4.7692" Properties=species:S:1:pos:R:3 pbc="T T T"
Na 0.4558 0.6606 2.3846
Na -2.3849 -0.5291 0.6025
Si -1.3134 -2.0799 3.4820
Os 0.6157 -2.2115 0.4950
Ga 0.0000 0.0000 0.0000
```


(7)
DFT (PBE) results for a geometry-optimized NaV2GaOs structure.

Results
The value obtained for the density of states at the Fermi level is 6.51 states/eV per cell. The volume is 17.0 A^3/atom. The value obtained for the spin magnetization is 0.2232 μB/atom. As for the symmetry: P4/mmm (123). The total energy is -0.168 hartree per atom.

Cell and atoms, written as extended XYZ:
```
5
Lattice="-3.4425 -2.4538 0.7972 2.2203 -1.9713 3.5204 -1.5345 3.0159 2.6566" Properties=species:S:1:pos:R:3 pbc="T T T"
Na 0.0000 0.0000 0.0000
Os 1.1102 -0.9856 1.7602
Ga -1.3783 -0.7046 3.4870
V -0.7672 1.5079 1.3283
V -1.7212 -1.2269 0.3986
```


(8)
DFT (PBE) results for a geometry-optimized NaZnGa2Os structure.

Results
The value obtained for the density of states at the Fermi level is 1.29 states/eV per cell. The volume is 22.8 A^3/atom. The value obtained for the spin magnetization is 0.0000 μB/atom. As for the symmetry: P4/mmm (123). The total energy is -0.148 hartree per atom.

Cell and atoms, written as extended XYZ:
```
5
Lattice="-1.7803 -2.5121 -3.6925 4.4043 -1.6463 -1.0034 -0.7584 -3.8469 2.9828" Properties=species:S:1:pos:R:3 pbc="T T T"
Na 0.9328 -4.0027 -0.8566
Zn -0.3792 -1.9235 1.4914
Os 0.0000 0.0000 0.0000
Ga 2.2021 -0.8232 -0.5017
Ga -0.8901 -1.2560 -1.8463
```


(9)
DFT (PBE) results for a geometry-optimized Na2GaP structure.

Results
The value obtained for the density of states at the Fermi level is 0.00 states/eV per cell. The volume is 20.9 A^3/atom. The value obtained for the spin magnetization is 0.0000 μB/atom. The offset from the most stable computed form comes out at 0.000 eV per atom. As for the symmetry: Fm-3m (225). The total energy is -0.104 hartree per atom.

Cell and atoms, written as extended XYZ:
```
4
Lattice="0.6994 -4.3396 -2.1891 -2.8134 -1.3124 -3.8047 1.9138 -0.1906 -4.5182" Properties=species:S:1:pos:R:3 pbc="T T T"
P 0.0000 0.0000 0.0000
Ga -0.1001 -2.9213 -5.2560
Na -0.0500 -1.4607 -2.6280
Na -0.1501 -4.3820 -7.8840
```


(10)
DFT (PBE) results for a geometry-optimized Na5GaP2 structure.

Results
The value obtained for the density of states at the Fermi level is 3.95 states/eV per cell. The volume is 24.2 A^3/atom. The value obtained for the spin magnetization is 0.0000 μB/atom. As for the symmetry: P6_3/mmc (194). The total energy is -0.102 hartree per atom.

Cell and atoms, written as extended XYZ:
```
16
Lattice="5.0438 0.0000 0.0000 -2.5219 4.3680 0.0000 0.0000 0.0000 17.5762" Properties=species:S:1:pos:R:3 pbc="T T T"
Na 0.0000 0.0000 6.2686
Na 0.0000 0.0000 2.5195
Na 2.5219 1.4560 4.3941
Na 0.0000 0.0000 15.0567
Na 2.5219 1.4560 0.9059
Na 0.0000 2.9120 13.1822
Na 0.0000 2.9120 16.6703
Na 0.0000 2.9120 9.6940
Na 2.5219 1.4560 7.8822
Na 0.0000 0.0000 11.3076
Ga 0.0000 2.9120 4.3941
Ga 2.5219 1.4560 13.1822
P 2.5219 1.4560 10.8284
P 0.0000 2.9120 2.0403
P 0.0000 2.9120 6.7478
P 2.5219 1.4560 15.5360
```